! HfGe2W (GGA-PBE, optimized geometry); values from VASP
! **E above lowest polymorph**: 0.0880 eV/atom
! **N(E_F)**: 0.38 states/eV per atom
! **Energy**: -7.955 eV/atom
! **ρ**: 11.418 g cm⁻³
&SYSTEM
  ibrav = 0, nat = 4, ntyp = 3
/
ATOMIC_SPECIES
Hf 178.49 Hf.upf
Ge 72.64 Ge.upf
W 183.84 W.upf
ATOMIC_POSITIONS crystal
Hf 0.0000 0.0000 0.0000
Ge 0.2443 0.2443 0.7331
Ge 0.7557 0.7557 0.2669
W 0.5000 0.5000 0.5000
CELL_PARAMETERS angstrom
3.2452 -1.8624 0.0000
3.2452 1.8624 0.0000
-2.1383 0.0000 6.1075

! ThSb4Pd15 (GGA-PBE, optimized geometry); values from VASP
! **ΔE_f (raw)**: -0.478 eV/atom
! **N(E_F)**: 0.51 states/eV per atom
! **Energy**: -5.568 eV/atom
! **ρ**: 11.232 g cm⁻³
&SYSTEM
  ibrav = 0, nat = 20, ntyp = 3
/
ATOMIC_SPECIES
Th 232.04 Th.upf
Sb 121.76 Sb.upf
Pd 106.42 Pd.upf
ATOMIC_POSITIONS crystal
Th 0.0000 0.0000 0.0000
Sb 0.0000 0.0000 0.2065
Sb 0.0000 0.0000 0.4017
Sb 0.0000 0.0000 0.5983
Sb 0.0000 0.0000 0.7935
Pd 0.0000 0.5000 0.1051
Pd 0.0000 0.5000 0.3032
Pd 0.0000 0.5000 0.5000
Pd 0.0000 0.5000 0.6968
Pd 0.0000 0.5000 0.8949
Pd 0.5000 0.0000 0.1051
Pd 0.5000 0.0000 0.3032
Pd 0.5000 0.0000 0.5000
Pd 0.5000 0.0000 0.6968
Pd 0.5000 0.0000 0.8949
Pd 0.5000 0.5000 0.0000
Pd 0.5000 0.5000 0.2054
Pd 0.5000 0.5000 0.4010
Pd 0.5000 0.5000 0.5990
Pd 0.5000 0.5000 0.7946
CELL_PARAMETERS angstrom
4.1251 0.0000 0.0000
0.0000 4.1251 0.0000
0.0000 0.0000 20.1154

! NaAg2SeO4 (GGA-PBE, optimized geometry); values from VASP
! **ΔE_f (raw)**: -0.469 eV/atom
! **N(E_F)**: 0.16 states/eV per atom
! **Energy**: -4.262 eV/atom
! **ρ**: 5.534 g cm⁻³
&SYSTEM
  ibrav = 0, nat = 16, ntyp = 4
/
ATOMIC_SPECIES
Na 22.99 Na.upf
Ag 107.87 Ag.upf
Se 78.96 Se.upf
O 16.00 O.upf
ATOMIC_POSITIONS crystal
Na 0.0000 0.5000 0.0000
Na 0.5000 0.0000 0.5000
Ag 0.0000 0.0000 0.0000
Ag 0.0000 0.0000 0.5000
Ag 0.0000 0.5000 0.5000
Ag 0.5000 0.0000 0.0000
Se 0.5000 0.5000 0.0000
Se 0.5000 0.5000 0.5000
O 0.2924 0.3125 0.1118
O 0.3125 0.2924 0.6118
O 0.3231 0.6680 0.5054
O 0.3320 0.6769 0.9946
O 0.6680 0.3231 0.0054
O 0.6769 0.3320 0.4946
O 0.6875 0.7076 0.3882
O 0.7076 0.6875 0.8882
CELL_PARAMETERS angstrom
4.0795 -5.3506 0.0000
4.0795 5.3506 0.0000
-3.6986 0.0000 5.2467

! AcCoCuSb (GGA-PBE, optimized geometry); values from VASP
! **ΔE_f (raw)**: -0.040 eV/atom
! **N(E_F)**: 1.17 states/eV per atom
! **Energy**: -4.899 eV/atom
! **ρ**: 9.320 g cm⁻³
&SYSTEM
  ibrav = 0, nat = 4, ntyp = 4
/
ATOMIC_SPECIES
Ac 227.00 Ac.upf
Co 58.93 Co.upf
Cu 63.55 Cu.upf
Sb 121.76 Sb.upf
ATOMIC_POSITIONS crystal
Ac 0.0000 0.0000 0.0000
Co 0.2500 0.2500 0.2500
Cu 0.7500 0.7500 0.7500
Sb 0.5000 0.5000 0.5000
CELL_PARAMETERS angstrom
0.0000 3.4754 3.4754
3.4754 0.0000 3.4754
3.4754 3.4754 0.0000

! AgPd8Pt6 (GGA-PBE, optimized geometry); values from VASP
! **E above lowest polymorph**: 0.0614 eV/atom
! **N(E_F)**: 1.55 states/eV per atom
! **Energy**: -5.205 eV/atom
! **ρ**: 14.005 g cm⁻³
&SYSTEM
  ibrav = 0, nat = 15, ntyp = 3
/
ATOMIC_SPECIES
Ag 107.87 Ag.upf
Pd 106.42 Pd.upf
Pt 195.08 Pt.upf
ATOMIC_POSITIONS crystal
Ag 0.0000 0.0000 0.0000
Pd 0.0851 0.7976 0.7283
Pd 0.2024 0.2875 0.7283
Pd 0.2875 0.0851 0.2717
Pd 0.3333 0.6667 0.2530
Pd 0.6667 0.3333 0.7470
Pd 0.7125 0.9149 0.7283
Pd 0.7976 0.7125 0.2717
Pd 0.9149 0.2024 0.2717
Pt 0.0879 0.4634 0.7550
Pt 0.3755 0.9121 0.7550
Pt 0.4634 0.3755 0.2450
Pt 0.5366 0.6245 0.7550
Pt 0.6245 0.0879 0.2450
Pt 0.9121 0.5366 0.2450
CELL_PARAMETERS angstrom
10.3442 0.0000 0.0000
-5.1721 8.9583 0.0000
0.0000 0.0000 2.7250

! PuCrH (GGA-PBE, optimized geometry); values from VASP
! **N(E_F)**: 1.78 states/eV per atom
! **Energy**: -8.965 eV/atom
! **ρ**: 12.390 g cm⁻³
&SYSTEM
  ibrav = 0, nat = 6, ntyp = 3
/
ATOMIC_SPECIES
Pu 244.00 Pu.upf
Cr 52.00 Cr.upf
H 1.01 H.upf
ATOMIC_POSITIONS crystal
Pu 0.0000 0.0000 0.0000
Pu 0.7500 0.2500 0.5000
Cr 0.2589 0.7589 0.5000
Cr 0.5089 0.5089 0.0000
H 0.0429 0.5429 0.5000
H 0.2929 0.2929 0.0000
CELL_PARAMETERS angstrom
-2.1433 2.1433 4.3324
2.1433 -2.1433 4.3324
2.1433 2.1433 -4.3324